! PBE TiTeN, relaxed; values from VASP
! - Formation energy without anion corrections: -0.85 eV per atom
! - Energy relative to the lowest polymorph listed for this composition: 0.1200 eV per atom
! - Total DFT energy (no corrections): -7.3068 eV per atom
! - DOS(E_F): 1.66 states/eV/cell
! - Total moment: 0.0001 μB per atom
&SYSTEM
  ibrav = 0, nat = 3, ntyp = 3
/
ATOMIC_SPECIES
Ti 47.87 Ti.upf
Te 127.60 Te.upf
N 14.01 N.upf
CELL_PARAMETERS angstrom
2.941 0.000 0.000
0.000 2.941 0.000
0.000 0.000 5.940
ATOMIC_POSITIONS angstrom
Ti 0.000 0.000 0.000
Te 0.000 0.000 2.970
N 1.471 1.471 0.000


! PBE Ti3TeN, relaxed; values from VASP
! - Formation energy without anion corrections: -0.76 eV per atom
! - Energy relative to the lowest polymorph listed for this composition: 0.2295 eV per atom
! - Total DFT energy (no corrections): -7.7941 eV per atom
! - DOS(E_F): 3.98 states/eV/cell
! - Total moment: 0.3346 μB per atom
&SYSTEM
  ibrav = 0, nat = 5, ntyp = 3
/
ATOMIC_SPECIES
Ti 47.87 Ti.upf
Te 127.60 Te.upf
N 14.01 N.upf
CELL_PARAMETERS angstrom
4.212 0.000 0.000
0.000 4.212 0.000
0.000 0.000 4.212
ATOMIC_POSITIONS angstrom
Ti 0.000 0.000 2.106
Ti 0.000 2.106 0.000
Ti 2.106 0.000 0.000
Te 2.106 2.106 2.106
N 0.000 0.000 0.000


! PBE TiTe3N, relaxed; values from VASP
! - Formation energy without anion corrections: 0.88 eV per atom
! - Energy relative to the lowest polymorph listed for this composition: 0.2596 eV per atom
! - Total DFT energy (no corrections): -4.2464 eV per atom
! - DOS(E_F): 3.50 states/eV/cell
! - Total moment: 0.5361 μB per atom
&SYSTEM
  ibrav = 0, nat = 5, ntyp = 3
/
ATOMIC_SPECIES
Ti 47.87 Ti.upf
Te 127.60 Te.upf
N 14.01 N.upf
CELL_PARAMETERS angstrom
5.320 0.000 0.000
0.000 5.320 0.000
0.000 0.000 5.320
ATOMIC_POSITIONS angstrom
Ti 0.000 0.000 0.000
Te 0.000 0.000 2.660
Te 0.000 2.660 0.000
Te 2.660 0.000 0.000
N 2.660 2.660 2.660


! PBE TiTlTeN2, relaxed; values from VASP
! - Formation energy without anion corrections: 1.80 eV per atom
! - Energy relative to the lowest polymorph listed for this composition: 1.4422 eV per atom
! - Total DFT energy (no corrections): -4.2147 eV per atom
! - DOS(E_F): 6.41 states/eV/cell
! - Total moment: 0.0000 μB per atom
&SYSTEM
  ibrav = 0, nat = 5, ntyp = 4
/
ATOMIC_SPECIES
Ti 47.87 Ti.upf
Tl 204.38 Tl.upf
Te 127.60 Te.upf
N 14.01 N.upf
CELL_PARAMETERS angstrom
4.173 0.000 0.000
0.000 4.173 0.000
0.000 0.000 6.134
ATOMIC_POSITIONS angstrom
Ti 0.000 0.000 0.000
Tl 2.086 2.086 3.067
Te 2.086 2.086 0.000
N 0.000 2.086 3.067
N 2.086 0.000 3.067


! PBE TiTlTeN2, relaxed; values from VASP
! - Formation energy without anion corrections: 0.35 eV per atom
! - Energy relative to the lowest polymorph listed for this composition: 0.0000 eV per atom
! - Total DFT energy (no corrections): -5.6569 eV per atom
! - DOS(E_F): 2.73 states/eV/cell
! - Total moment: 0.0448 μB per atom
&SYSTEM
  ibrav = 0, nat = 5, ntyp = 4
/
ATOMIC_SPECIES
Ti 47.87 Ti.upf
Tl 204.38 Tl.upf
Te 127.60 Te.upf
N 14.01 N.upf
CELL_PARAMETERS angstrom
4.064 0.000 0.000
0.000 4.064 0.000
0.000 0.000 5.809
ATOMIC_POSITIONS angstrom
Ti 0.000 0.000 0.000
Tl 2.032 2.032 2.904
Te 0.000 0.000 2.904
N 0.000 2.032 0.000
N 2.032 0.000 0.000


! PBE UTiTe2N, relaxed; values from VASP
! - Formation energy without anion corrections: -0.99 eV per atom
! - Total DFT energy (no corrections): -7.7505 eV per atom
! - DOS(E_F): 14.66 states/eV/cell
! - Total moment: 0.3295 μB per atom
&SYSTEM
  ibrav = 0, nat = 10, ntyp = 4
/
ATOMIC_SPECIES
U 238.03 U.upf
Ti 47.87 Ti.upf
Te 127.60 Te.upf
N 14.01 N.upf
CELL_PARAMETERS angstrom
3.862 0.000 0.000
0.000 3.862 0.000
0.000 0.000 14.231
ATOMIC_POSITIONS angstrom
U 0.966 0.966 1.160
U 2.897 2.897 13.071
Ti 0.966 0.966 8.163
Ti 2.897 2.897 6.068
Te 0.966 0.966 5.395
Te 0.966 0.966 11.282
Te 2.897 2.897 2.949
Te 2.897 2.897 8.837
N 0.966 2.897 0.000
N 2.897 0.966 0.000